Record 1
# EuDyHoLu, optimized geometry, DFT GGA-PBE
# **Energy**: -23.30 eV for the cell shown
# **Space group**: F-43m, No. 216
# **D(E_F)**: 8.029 states/eV/cell
data_EuDyHoLu
_cell_length_a 5.691
_cell_length_b 5.691
_cell_length_c 5.691
_cell_angle_alpha 60.00
_cell_angle_beta 60.00
_cell_angle_gamma 60.00
_symmetry_space_group_name_H-M 'P 1'
_symmetry_Int_Tables_number 1
_symmetry_space_group_name_Hall 'P 1'
loop_
_atom_site_label
_atom_site_type_symbol
_atom_site_fract_x
_atom_site_fract_y
_atom_site_fract_z
Eu1 Eu 0.000 0.000 0.000
Dy1 Dy 0.750 0.750 0.750
Ho1 Ho 0.500 0.500 0.500
Lu1 Lu 0.250 0.250 0.250



Record 2
# EuDyHoMg, optimized geometry, DFT GGA-PBE
# **Energy**: -20.71 eV for the cell shown
# **Space group**: F-43m, No. 216
# **D(E_F)**: 3.043 states/eV/cell
data_EuDyHoMg
_cell_length_a 5.572
_cell_length_b 5.572
_cell_length_c 5.572
_cell_angle_alpha 60.00
_cell_angle_beta 60.00
_cell_angle_gamma 60.00
_symmetry_space_group_name_H-M 'P 1'
_symmetry_Int_Tables_number 1
_symmetry_space_group_name_Hall 'P 1'
loop_
_atom_site_label
_atom_site_type_symbol
_atom_site_fract_x
_atom_site_fract_y
_atom_site_fract_z
Eu1 Eu 0.000 0.000 0.000
Dy1 Dy 0.750 0.750 0.750
Ho1 Ho 0.250 0.250 0.250
Mg1 Mg 0.500 0.500 0.500



Record 3
# PmEuDyHo, optimized geometry, DFT GGA-PBE
# **Energy**: -23.58 eV for the cell shown
# **Space group**: F-43m, No. 216
# **D(E_F)**: 7.535 states/eV/cell
data_PmEuDyHo
_cell_length_a 5.769
_cell_length_b 5.769
_cell_length_c 5.769
_cell_angle_alpha 60.00
_cell_angle_beta 60.00
_cell_angle_gamma 60.00
_symmetry_space_group_name_H-M 'P 1'
_symmetry_Int_Tables_number 1
_symmetry_space_group_name_Hall 'P 1'
loop_
_atom_site_label
_atom_site_type_symbol
_atom_site_fract_x
_atom_site_fract_y
_atom_site_fract_z
Pm1 Pm 0.000 0.000 0.000
Eu1 Eu 0.500 0.500 0.500
Dy1 Dy 0.250 0.250 0.250
Ho1 Ho 0.750 0.750 0.750



- Which formula does entry 1 have?
  EuDyHoLu



- What is the energy in the second record?
  -20.71 eV for the cell shown